A plane-wave DFT calculation with PBE was carried out for crystalline LaSc3Hg at its relaxed geometry.

```
5
Lattice="-0.0958 2.5682 4.5240 3.7176 -3.1312 1.8563 3.6388 3.2666 -1.7774" Properties=species:S:1:pos:R:3 pbc="T T T"
Sc 1.8588 -1.5656 0.9281
Sc -0.0479 1.2841 2.2620
Sc 1.8194 1.6333 -0.8887
Hg 3.6303 1.3518 2.3014
La 0.0000 0.0000 0.0000
```

DFT formation energy in eV/atom: 0.872
E_tot in eV per formula unit: -19.87
SG: Pm-3m